This record from Alexandria via LeMat-Bulk describes an optimized crystal structure of Rb2NbHgP. The functional is PBE-GGA.

abc: 6.8052 6.8052 5.5978
angles: 90.00 90.00 90.00
Positions (direct):
Rb1 0.0000 0.5000 0.0000
Rb2 0.5000 0.0000 0.0000
Nb1 0.0000 0.0000 0.0000
Hg1 0.0000 0.0000 0.5000
P1 0.5000 0.5000 0.5000

Values from the calculation:
ΔE_f	1.250	eV per atom
DOS at the Fermi energy	5.05	states/eV/cell
crystal system	tetragonal
final energy	-11.5	eV/cell